An optimized crystal structure of GaMoNF2. Source: the Alexandria database, functional GGA+U.

Results
Crystal system: tetragonal
Total magnetic moment, μB/atom: 0.399
Final energy, eV/atom: -5.396

a = 4.3096 Å, b = 4.3096 Å, c = 4.0069 Å
α = 90.00°, β = 90.00°, γ = 90.00°
With the nearest neighbours (Å) after each atom.
Space group P4/mmm (No. 123)
Unique sites:
Ga: 0.0000 0.0000 0.0000 (multiplicity 1)  8 F 2.94, 4 N 3.05
Mo: 0.5000 0.5000 0.5000 (multiplicity 1)  2 N 2.00, 4 F 2.15
N: 0.5000 0.5000 0.0000 (multiplicity 1)  2 Mo 2.00
F: 0.0000 0.5000 0.5000 (multiplicity 2)  2 Mo 2.15